No. 1
# TbPaN2O (PBE, relaxed)
data_TbPaN2O
_chemical_formula_sum 'Tb2 Pa2 N4 O2'
_space_group_name_H-M_alt 'P 1'
_space_group_IT_number 1
_space_group_name_Hall 'P 1'
_cell_length_a 3.669
_cell_length_b 3.669
_cell_length_c 11.470
_cell_angle_alpha 90.00
_cell_angle_beta 90.00
_cell_angle_gamma 90.00
loop_
_atom_site_label
_atom_site_fract_x
_atom_site_fract_y
_atom_site_fract_z
Tb1 0.500 0.000 0.607
Tb2 0.000 0.500 0.393
Pa1 0.500 0.000 0.114
Pa2 0.000 0.500 0.886
N1 0.000 0.500 0.720
N2 0.000 0.500 0.077
N3 0.500 0.000 0.923
N4 0.500 0.000 0.280
O1 0.000 0.000 0.500
O2 0.500 0.500 0.500
# Size of the total moment ... 0.00 μB per atom
# DFT total energy ... -0.336 hartree per atom
# Mass density ... 9336 kg/m3
# V ... 154.4 Å³ per cell
# Formation energy from raw total energies ... -9.92 eV per formula unit

No. 2
# CaHo2HfAs4 (PBE, relaxed)
data_CaHo2HfAs4
_chemical_formula_sum 'Ca1 Ho2 Hf1 As4'
_space_group_name_H-M_alt 'P 1'
_space_group_IT_number 1
_space_group_name_Hall 'P 1'
_cell_length_a 4.041
_cell_length_b 7.056
_cell_length_c 6.967
_cell_angle_alpha 109.02
_cell_angle_beta 90.00
_cell_angle_gamma 90.00
loop_
_atom_site_label
_atom_site_fract_x
_atom_site_fract_y
_atom_site_fract_z
Ca1 0.500 0.500 0.000
Ho1 0.500 0.000 0.500
Ho2 0.000 0.500 0.500
Hf1 0.000 0.000 0.000
As1 0.500 0.236 0.239
As2 0.500 0.764 0.761
As3 0.000 0.238 0.753
As4 0.000 0.762 0.247
# Formation energy from the elements ... -1291 meV/atom
# Size of the total moment ... 0.00 μB per atom
# DFT total energy ... -0.230 hartree per atom
# Mass density ... 7499 kg/m3
# V ... 187.8 Å³ per cell

No. 3
# TcSbOs2 (PBE, relaxed)
data_TcSbOs2
_chemical_formula_sum 'Tc2 Sb2 Os4'
_space_group_name_H-M_alt 'P 1'
_space_group_IT_number 1
_space_group_name_Hall 'P 1'
_cell_length_a 5.710
_cell_length_b 5.710
_cell_length_c 7.071
_cell_angle_alpha 66.19
_cell_angle_beta 66.19
_cell_angle_gamma 90.00
loop_
_atom_site_label
_atom_site_fract_x
_atom_site_fract_y
_atom_site_fract_z
Sb1 0.000 0.000 0.000
Sb2 0.750 0.250 0.500
Os1 0.594 0.125 0.250
Os2 0.156 0.625 0.250
Os3 0.375 0.406 0.750
Os4 0.875 0.844 0.750
Tc1 0.500 0.500 0.000
Tc2 0.250 0.750 0.500
# Size of the total moment ... 0.00 μB per atom
# DFT total energy ... -0.300 hartree per atom
# Mass density ... 10534 kg/m3
# V ... 189.2 Å³ per cell
# Formation energy from raw total energies ... 4.28 eV per formula unit

No. 4
# SrBeRuI2 (PBE, relaxed)
data_SrBeRuI2
_chemical_formula_sum 'Sr1 Be1 Ru1 I2'
_space_group_name_H-M_alt 'P 1'
_space_group_IT_number 1
_space_group_name_Hall 'P 1'
_cell_length_a 6.329
_cell_length_b 5.815
_cell_length_c 6.329
_cell_angle_alpha 90.00
_cell_angle_beta 90.00
_cell_angle_gamma 90.00
loop_
_atom_site_label
_atom_site_fract_x
_atom_site_fract_y
_atom_site_fract_z
I1 0.000 0.000 0.500
I2 0.500 0.000 0.000
Ru1 0.000 0.500 0.000
Be1 0.500 0.500 0.500
Sr1 0.000 0.000 0.000
# Size of the total moment ... 0.56 μB per atom
# DFT total energy ... -0.090 hartree per atom
# Mass density ... 3219 kg/m3
# V ... 232.9 Å³ per cell
# Formation energy from raw total energies ... 5.54 eV per formula unit

No. 5
# Gd2BiRu (PBE, relaxed)
data_Gd2BiRu
_chemical_formula_sum 'Gd2 Bi1 Ru1'
_space_group_name_H-M_alt 'P 1'
_space_group_IT_number 1
_space_group_name_Hall 'P 1'
_cell_length_a 3.857
_cell_length_b 3.857
_cell_length_c 8.800
_cell_angle_alpha 77.34
_cell_angle_beta 77.34
_cell_angle_gamma 60.00
loop_
_atom_site_label
_atom_site_fract_x
_atom_site_fract_y
_atom_site_fract_z
Ru1 0.000 0.000 0.000
Gd1 0.268 0.268 0.197
Gd2 0.732 0.732 0.803
Bi1 0.500 0.500 0.500
# Formation energy from the elements ... -310 meV/atom
# Size of the total moment ... 3.52 μB per atom
# E above lowest polymorph ... 81 kJ/mol of formula units
# DFT total energy ... -0.391 hartree per atom
# Mass density ... 9455 kg/m3
# V ... 109.7 Å³ per cell

No. 6
# Nd5Y6Sc2 (PBE, relaxed)
data_Nd5Y6Sc2
_chemical_formula_sum 'Nd10 Y12 Sc4'
_space_group_name_H-M_alt 'P 1'
_space_group_IT_number 1
_space_group_name_Hall 'P 1'
_cell_length_a 3.544
_cell_length_b 10.757
_cell_length_c 22.421
_cell_angle_alpha 90.00
_cell_angle_beta 90.00
_cell_angle_gamma 90.00
loop_
_atom_site_label
_atom_site_fract_x
_atom_site_fract_y
_atom_site_fract_z
Nd1 0.500 0.333 0.490
Nd2 0.500 0.667 0.510
Nd3 0.500 0.833 0.010
Nd4 0.500 0.167 0.990
Nd5 0.500 0.587 0.252
Nd6 0.500 0.413 0.748
Nd7 0.500 0.087 0.248
Nd8 0.500 0.913 0.752
Nd9 0.500 0.500 0.000
Nd10 0.500 0.000 0.500
Y1 0.000 0.137 0.382
Y2 0.000 0.863 0.618
Y3 0.000 0.637 0.118
Y4 0.000 0.363 0.882
Y5 0.500 0.335 0.140
Y6 0.500 0.665 0.860
Y7 0.500 0.835 0.360
Y8 0.500 0.165 0.640
Y9 0.000 0.535 0.387
Y10 0.000 0.465 0.613
Y11 0.000 0.035 0.113
Y12 0.000 0.965 0.887
Sc1 0.000 0.337 0.271
Sc2 0.000 0.663 0.729
Sc3 0.000 0.837 0.229
Sc4 0.000 0.163 0.771
# Formation energy from the elements ... 134 meV/atom
# Size of the total moment ... 0.00 μB per atom
# DFT total energy ... -0.208 hartree per atom
# Mass density ... 5224 kg/m3
# V ... 854.8 Å³ per cell

No. 7
# LaYMnCd (PBE, relaxed)
data_LaYMnCd
_chemical_formula_sum 'La1 Y1 Mn1 Cd1'
_space_group_name_H-M_alt 'P 1'
_space_group_IT_number 1
_space_group_name_Hall 'P 1'
_cell_length_a 5.312
_cell_length_b 5.312
_cell_length_c 5.312
_cell_angle_alpha 60.00
_cell_angle_beta 60.00
_cell_angle_gamma 60.00
loop_
_atom_site_label
_atom_site_fract_x
_atom_site_fract_y
_atom_site_fract_z
Y1 0.750 0.750 0.750
Cd1 0.000 0.000 0.000
Mn1 0.500 0.500 0.500
La1 0.250 0.250 0.250
# Formation energy from the elements ... 1 meV/atom
# Size of the total moment ... 0.79 μB per atom
# DFT total energy ... -0.197 hartree per atom
# Mass density ... 6192 kg/m3
# V ... 106.0 Å³ per cell

No. 8
# BeTe2Mo (PBE, relaxed)
data_BeTe2Mo
_chemical_formula_sum 'Be1 Te2 Mo1'
_space_group_name_H-M_alt 'P 1'
_space_group_IT_number 1
_space_group_name_Hall 'P 1'
_cell_length_a 7.564
_cell_length_b 7.564
_cell_length_c 7.564
_cell_angle_alpha 26.83
_cell_angle_beta 26.83
_cell_angle_gamma 26.83
loop_
_atom_site_label
_atom_site_fract_x
_atom_site_fract_y
_atom_site_fract_z
Be1 0.250 0.250 0.250
Mo1 0.750 0.750 0.750
Te1 0.994 0.994 0.994
Te2 0.506 0.506 0.506
# Size of the total moment ... 0.00 μB per atom
# DFT total energy ... -0.179 hartree per atom
# Mass density ... 7694 kg/m3
# V ... 77.7 Å³ per cell
# Formation energy from raw total energies ... 1.33 eV per formula unit